[1]
# Er8Ag2Rh

A geometry-optimized Er8Ag2Rh structure (PBE-GGA, the Alexandria database).

Lattice parameters (Å, degrees): 17.2535 5.1765 6.7678 90.00 107.98 90.00
Space group C2/m (No. 12)
One atom of each set of equivalent atoms:
Er 0.0272 0.0000 0.2883 [4 per cell]
Er 0.0905 0.5000 0.9323 [4 per cell]
Er 0.1599 0.5000 0.4679 [4 per cell]
Er 0.1994 0.0000 0.8070 [4 per cell]
Ag 0.1835 0.0000 0.2151 [4 per cell]
Rh 0.0000 0.5000 0.5000 [2 per cell]

Values from the calculation:
The density of states at the Fermi level is 9.69 states/eV/f.u. As for the energy of formation: -275.1 meV/atom. The value obtained for the distance to the lowest polymorph of the same formula is 0 meV/atom.

[2]
# Dy2Y2Se2S3

A geometry-optimized Dy2Y2Se2S3 structure (PBE-GGA, the Alexandria database).

Lattice parameters (Å, degrees): 5.3495 5.3495 14.5266 90.00 90.00 90.00
Space group I4/mmm (No. 139)
One atom of each set of equivalent atoms:
Dy 0.0000 0.5000 0.0000 [4 per cell]
Y 0.0000 0.0000 0.2023 [4 per cell]
Se 0.0000 0.0000 0.3971 [4 per cell]
S 0.0000 0.0000 0.0000 [2 per cell]
S 0.0000 0.5000 0.2500 [4 per cell]

Values from the calculation:
The density of states at the Fermi level is 5.29 states/eV/f.u. The calculation puts the formation energy without anion corrections at -1.70 eV per atom.